No. 1
The following is a PBE-GGA calculation of a geometry-optimized ZrCrCS2 structure, from Alexandria.

```
ZrCrCS2
1.0
4.886 0.000 0.000
0.000 5.081 0.000
0.000 0.000 4.886
C Cr S Zr
1 1 2 1
Cartesian
2.443 2.541 2.443 C
0.000 2.541 0.000 Cr
0.000 0.000 2.443 S
2.443 0.000 0.000 S
0.000 0.000 0.000 Zr
```

Calculated values
For the total DFT energy (no corrections), the calculation gives -25.943 eV/cell. The symmetry is P4/mmm, No. 123.

***

No. 2
The following is a PBE-GGA calculation of a geometry-optimized CrSbC3 structure, from Alexandria.

```
CrSbC3
1.0
4.170 0.000 0.000
0.000 4.170 0.000
0.000 0.000 4.170
C Cr Sb
3 1 1
Cartesian
2.085 0.000 0.000 C
0.000 2.085 0.000 C
0.000 0.000 2.085 C
2.085 2.085 2.085 Cr
0.000 0.000 0.000 Sb
```

Calculated values
For the total DFT energy (no corrections), the calculation gives -25.253 eV/cell. The symmetry is Pm-3m, No. 221. Its polymorph energy (0 for the lowest one) is 1440.9 meV per atom.

***

No. 3
The following is a PBE-GGA calculation of a geometry-optimized CrSb3C structure, from Alexandria.

```
CrSb3C
1.0
-3.147 2.803 2.578
-3.804 -2.468 -1.959
0.177 -3.233 3.731
Sb Cr C
3 1 1
Cartesian
-1.573 1.401 1.289 Sb
-1.902 -1.234 -0.980 Sb
0.088 -1.617 1.865 Sb
0.000 0.000 0.000 Cr
-3.387 -1.449 2.175 C
```

Calculated values
For the total DFT energy (no corrections), the calculation gives -23.406 eV/cell. The symmetry is Pm-3m, No. 221. Its polymorph energy (0 for the lowest one) is 440.0 meV per atom.

***

No. 4
The following is a PBE-GGA calculation of a geometry-optimized CrSbC3 structure, from Alexandria.

```
CrSbC3
1.0
-0.165 0.209 -3.904
0.043 -3.907 -0.211
-3.909 -0.052 0.162
C Sb Cr
3 1 1
Cartesian
-0.082 0.104 -1.952 C
0.021 -1.953 -0.105 C
-1.955 -0.026 0.081 C
-2.016 -1.875 -1.976 Sb
0.000 0.000 0.000 Cr
```

Calculated values
For the total DFT energy (no corrections), the calculation gives -32.458 eV/cell. The symmetry is Pm-3m, No. 221. Its polymorph energy (0 for the lowest one) is 0.0 meV per atom.

***

No. 5
The following is a PBE-GGA calculation of a geometry-optimized CrSbC2 structure, from Alexandria.

```
CrSbC2
1.0
4.856 0.000 0.000
0.000 4.856 0.000
2.428 2.428 4.762
C Sb Cr
4 2 2
Cartesian
1.467 3.642 1.190 C
6.071 5.817 3.571 C
3.642 3.896 3.571 C
3.389 1.214 1.190 C
4.856 2.428 2.381 Sb
0.000 0.000 0.000 Sb
2.428 2.428 0.000 Cr
2.428 4.856 2.381 Cr
```

Calculated values
For the total DFT energy (no corrections), the calculation gives -56.681 eV/cell. The symmetry is I-42d, No. 122.

***

No. 6
The following is a PBE-GGA calculation of a geometry-optimized CrSb3C structure, from Alexandria.

```
CrSb3C
1.0
4.734 0.000 0.000
0.000 4.734 0.000
0.000 0.000 4.734
Cr Sb C
1 3 1
Cartesian
2.367 2.367 2.367 Cr
0.000 2.367 0.000 Sb
0.000 0.000 2.367 Sb
2.367 0.000 0.000 Sb
0.000 0.000 0.000 C
```

Calculated values
For the total DFT energy (no corrections), the calculation gives -25.606 eV/cell. The symmetry is Pm-3m, No. 221. Its polymorph energy (0 for the lowest one) is 0.0 meV per atom.